1.
A plane-wave DFT calculation with PBE was carried out for an optimized crystal structure of NdGe3Ir2.

Properties
- Energy above the most stable polymorph in this dataset: 0.0 meV per atom
- Formation enthalpy at 0 K: -0.522 eV/atom
- E_tot: -6.58 eV/atom
- Crystal system: monoclinic

Cell lengths 4.2235, 7.6946, 8.0112 Å; angles 112.34, 105.28, 90.00 degrees
Atoms (fractional coordinates):
Nd 0.1444 0.0983 0.2888
Nd 0.8556 0.9017 0.7112
Ge 0.6696 0.4281 0.3393
Ge 0.0147 0.3513 0.0293
Ge 0.3584 0.2246 0.7168
Ge 0.6416 0.7754 0.2832
Ge 0.9853 0.6487 0.9707
Ge 0.3304 0.5719 0.6607
Ir 0.5044 0.1731 0.0089
Ir 0.4956 0.8269 0.9911
Ir 0.1804 0.6314 0.3607
Ir 0.8196 0.3686 0.6393

2.
A plane-wave DFT calculation with PBE was carried out for an optimized crystal structure of Nd2GeIr.

Properties
- Formation enthalpy at 0 K: -0.584 eV/atom
- E_tot: -6.34 eV/atom
- Crystal system: tetragonal

Cell lengths 3.4984, 3.4984, 7.8304 Å; angles 90.00, 90.00, 90.00 degrees
Atoms (fractional coordinates):
Ge 0.5000 0.5000 0.5000
Ir 0.5000 0.5000 0.0000
Nd 0.0000 0.0000 0.7712
Nd 0.0000 0.0000 0.2288

3.
A plane-wave DFT calculation with PBE was carried out for an optimized crystal structure of Nd3Ge2Ir2.

Properties
- Formation enthalpy at 0 K: -0.808 eV/atom
- E_tot: -6.70 eV/atom
- Crystal system: orthorhombic

Cell lengths 5.7668, 8.0773, 13.5827 Å; angles 90.00, 90.00, 90.00 degrees
Atoms (fractional coordinates):
Nd 0.1410 0.6097 0.1008
Nd 0.8590 0.3903 0.6008
Nd 0.8590 0.1097 0.3992
Nd 0.1410 0.8903 0.8992
Nd 0.8590 0.3903 0.8992
Nd 0.1410 0.6097 0.3992
Nd 0.1410 0.8903 0.6008
Nd 0.8590 0.1097 0.1008
Nd 0.3706 0.2504 0.2500
Nd 0.6294 0.7496 0.7500
Nd 0.6294 0.7504 0.2500
Nd 0.3706 0.2496 0.7500
Ge 0.3669 0.2500 0.0000
Ge 0.6331 0.7500 0.5000
Ge 0.6331 0.7500 0.0000
Ge 0.3669 0.2500 0.5000
Ge 0.8601 0.3984 0.2500
Ge 0.1399 0.6016 0.7500
Ge 0.1399 0.8984 0.2500
Ge 0.8601 0.1016 0.7500
Ir 0.6304 0.4648 0.0910
Ir 0.3696 0.5352 0.5910
Ir 0.3696 0.9648 0.4090
Ir 0.6304 0.0352 0.9090
Ir 0.3696 0.5352 0.9090
Ir 0.6304 0.4648 0.4090
Ir 0.6304 0.0352 0.5910
Ir 0.3696 0.9648 0.0910

4.
A plane-wave DFT calculation with PBE was carried out for an optimized crystal structure of Nd3Ge13Ir4.

Properties
- Formation enthalpy at 0 K: -0.513 eV/atom
- E_tot: -6.00 eV/atom
- Crystal system: cubic

Cell lengths 9.1484, 9.1484, 9.1484 Å; angles 90.00, 90.00, 90.00 degrees
Atoms (fractional coordinates):
Nd 0.0000 0.5000 0.7500
Nd 0.5000 0.2500 0.0000
Nd 0.7500 0.0000 0.5000
Nd 0.0000 0.5000 0.2500
Nd 0.5000 0.7500 0.0000
Nd 0.2500 0.0000 0.5000
Ge 0.5000 0.5000 0.5000
Ge 0.0000 0.0000 0.0000
Ge 0.8037 0.3541 0.5000
Ge 0.6459 0.5000 0.8037
Ge 0.5000 0.1963 0.6459
Ge 0.1963 0.6459 0.5000
Ge 0.3541 0.5000 0.1963
Ge 0.5000 0.8037 0.3541
Ge 0.8037 0.6459 0.5000
Ge 0.6459 0.5000 0.1963
Ge 0.1963 0.3541 0.5000
Ge 0.3541 0.5000 0.8037
Ge 0.5000 0.8037 0.6459
Ge 0.5000 0.1963 0.3541
Ge 0.3037 0.0000 0.8541
Ge 0.1459 0.3037 0.0000
Ge 0.0000 0.1459 0.6963
Ge 0.6963 0.0000 0.1459
Ge 0.8541 0.6963 0.0000
Ge 0.0000 0.8541 0.3037
Ge 0.3037 0.0000 0.1459
Ge 0.1459 0.6963 0.0000
Ge 0.6963 0.0000 0.8541
Ge 0.8541 0.3037 0.0000
Ge 0.0000 0.1459 0.3037
Ge 0.0000 0.8541 0.6963
Ir 0.7500 0.2500 0.7500
Ir 0.2500 0.7500 0.2500
Ir 0.7500 0.7500 0.2500
Ir 0.2500 0.2500 0.7500
Ir 0.2500 0.7500 0.7500
Ir 0.7500 0.2500 0.2500
Ir 0.2500 0.2500 0.2500
Ir 0.7500 0.7500 0.7500

5.
A plane-wave DFT calculation with PBE was carried out for an optimized crystal structure of Nd5Ge5Ir2.

Properties
- Formation enthalpy at 0 K: -0.751 eV/atom
- E_tot: -6.14 eV/atom
- Crystal system: monoclinic

Cell lengths 4.3022, 7.9945, 8.9776 Å; angles 87.71, 76.14, 74.39 degrees
Atoms (fractional coordinates):
Nd 0.0000 0.5000 0.5000
Nd 0.6917 0.6940 0.9227
Nd 0.3738 0.9240 0.3285
Nd 0.6262 0.0760 0.6715
Nd 0.3083 0.3060 0.0773
Ge 0.7197 0.2239 0.3367
Ge 0.9465 0.3033 0.8038
Ge 0.0535 0.6967 0.1962
Ge 0.2803 0.7761 0.6633
Ge 0.0000 0.0000 0.0000
Ir 0.3825 0.4712 0.7638
Ir 0.6175 0.5288 0.2362

6.
A plane-wave DFT calculation with PBE was carried out for an optimized crystal structure of Nd8GeIr2.

Properties
- Formation enthalpy at 0 K: -0.362 eV/atom
- E_tot: -5.86 eV/atom
- Crystal system: monoclinic

Cell lengths 6.3800, 7.7452, 7.7452 Å; angles 112.30, 100.19, 100.19 degrees
Atoms (fractional coordinates):
Ge 0.1737 0.0083 0.0083
Ir 0.4903 0.6872 0.3148
Ir 0.4903 0.3148 0.6872
Nd 0.5847 0.3424 0.0765
Nd 0.5847 0.0765 0.3424
Nd 0.1867 0.3711 0.3711
Nd 0.9805 0.2200 0.7827
Nd 0.9805 0.7827 0.2200
Nd 0.7931 0.6477 0.6477
Nd 0.3677 0.9260 0.6572
Nd 0.3677 0.6572 0.9260

7.
A plane-wave DFT calculation with PBE was carried out for an optimized crystal structure of NdGe2Ir.

Properties
- Formation enthalpy at 0 K: -0.794 eV/atom
- E_tot: -6.51 eV/atom
- Crystal system: orthorhombic

Cell lengths 9.6053, 9.6053, 9.6053 Å; angles 153.67, 123.99, 62.91 degrees
Atoms (fractional coordinates):
Nd 0.7062 0.2062 0.5000
Nd 0.2938 0.7938 0.5000
Nd 0.7377 0.0000 0.7377
Nd 0.2623 0.0000 0.2623
Ge 0.4226 0.4226 0.0000
Ge 0.5774 0.5774 0.0000
Ge 0.9210 0.4210 0.5000
Ge 0.0790 0.5790 0.5000
Ge 0.0453 0.2001 0.8453
Ge 0.9547 0.7999 0.1547
Ge 0.6452 0.7999 0.8453
Ge 0.3548 0.2001 0.1547
Ir 0.1017 0.3541 0.7476
Ir 0.8983 0.6459 0.2524
Ir 0.3936 0.6459 0.7476
Ir 0.6064 0.3541 0.2524

8.
A plane-wave DFT calculation with PBE was carried out for an optimized crystal structure of Nd2GeIr.

Properties
- Formation enthalpy at 0 K: -0.751 eV/atom
- E_tot: -6.50 eV/atom
- Crystal system: monoclinic

Cell lengths 4.2451, 5.9489, 8.4366 Å; angles 111.83, 90.00, 90.00 degrees
Atoms (fractional coordinates):
Nd 0.7500 0.2175 0.4428
Nd 0.2500 0.7825 0.5572
Nd 0.2500 0.7753 0.0887
Nd 0.7500 0.2247 0.9113
Ge 0.2500 0.3408 0.2067
Ge 0.7500 0.6592 0.7933
Ir 0.7500 0.6432 0.2867
Ir 0.2500 0.3568 0.7133

9.
A plane-wave DFT calculation with PBE was carried out for an optimized crystal structure of NdGe2Ir.

Properties
- Formation enthalpy at 0 K: -0.728 eV/atom
- E_tot: -6.44 eV/atom
- Crystal system: orthorhombic

Cell lengths 4.3990, 7.0462, 10.4107 Å; angles 90.00, 90.00, 90.00 degrees
Atoms (fractional coordinates):
Nd 0.7500 0.6685 0.6316
Nd 0.2500 0.8315 0.1316
Nd 0.2500 0.3315 0.3684
Nd 0.7500 0.1685 0.8684
Ge 0.7500 0.1921 0.5760
Ge 0.2500 0.3079 0.0760
Ge 0.2500 0.8079 0.4240
Ge 0.7500 0.6921 0.9240
Ge 0.7500 0.6362 0.3287
Ge 0.2500 0.8638 0.8287
Ge 0.2500 0.3638 0.6713
Ge 0.7500 0.1362 0.1713
Ir 0.7500 0.9945 0.3851
Ir 0.2500 0.5055 0.8851
Ir 0.2500 0.0055 0.6149
Ir 0.7500 0.4945 0.1149

10.
A plane-wave DFT calculation with PBE was carried out for an optimized crystal structure of Nd3Ge2Ir.

Properties
- Formation enthalpy at 0 K: -0.812 eV/atom
- E_tot: -6.21 eV/atom
- Crystal system: orthorhombic

Cell lengths 4.3463, 11.6278, 12.1094 Å; angles 90.00, 90.00, 90.00 degrees
Atoms (fractional coordinates):
Nd 0.2500 0.3723 0.0557
Nd 0.7500 0.6277 0.9443
Nd 0.7500 0.8723 0.4443
Nd 0.2500 0.1277 0.5557
Nd 0.2500 0.6989 0.2215
Nd 0.7500 0.3011 0.7785
Nd 0.7500 0.1989 0.2785
Nd 0.2500 0.8011 0.7215
Nd 0.2500 0.4453 0.3805
Nd 0.7500 0.5547 0.6195
Nd 0.7500 0.9453 0.1195
Nd 0.2500 0.0547 0.8805
Ge 0.2500 0.6883 0.4840
Ge 0.7500 0.3117 0.5160
Ge 0.7500 0.1883 0.0160
Ge 0.2500 0.8117 0.9840
Ge 0.2500 0.9999 0.3080
Ge 0.7500 0.0001 0.6920
Ge 0.7500 0.4999 0.1920
Ge 0.2500 0.5001 0.8080
Ir 0.2500 0.1307 0.1301
Ir 0.7500 0.8693 0.8699
Ir 0.7500 0.6307 0.3699
Ir 0.2500 0.3693 0.6301

11.
A plane-wave DFT calculation with PBE was carried out for an optimized crystal structure of NdGe2Ir.

Properties
- Formation enthalpy at 0 K: 0.105 eV/atom
- E_tot: -5.61 eV/atom
- Crystal system: trigonal

Cell lengths 3.1648, 3.1648, 10.0068 Å; angles 80.90, 80.90, 60.00 degrees
Atoms (fractional coordinates):
Ge 0.1036 0.1036 0.6891
Ge 0.8964 0.8964 0.3109
Ir 0.5000 0.5000 0.5000
Nd 0.0000 0.0000 0.0000

12.
A plane-wave DFT calculation with PBE was carried out for an optimized crystal structure of Nd3GeIr2.

Properties
- Formation enthalpy at 0 K: -0.662 eV/atom
- E_tot: -6.77 eV/atom
- Crystal system: orthorhombic

Cell lengths 4.0573, 12.3094, 11.9631 Å; angles 90.00, 90.00, 90.00 degrees
Atoms (fractional coordinates):
Nd 0.2500 0.3812 0.0569
Nd 0.7500 0.6188 0.9431
Nd 0.7500 0.8812 0.4431
Nd 0.2500 0.1188 0.5569
Nd 0.2500 0.6872 0.1973
Nd 0.7500 0.3128 0.8027
Nd 0.7500 0.1872 0.3027
Nd 0.2500 0.8128 0.6973
Nd 0.2500 0.4400 0.3720
Nd 0.7500 0.5600 0.6280
Nd 0.7500 0.9400 0.1280
Nd 0.2500 0.0600 0.8720
Ge 0.2500 0.1367 0.1217
Ge 0.7500 0.8633 0.8783
Ge 0.7500 0.6367 0.3783
Ge 0.2500 0.3633 0.6217
Ir 0.2500 0.6885 0.4856
Ir 0.7500 0.3115 0.5144
Ir 0.7500 0.1885 0.0144
Ir 0.2500 0.8115 0.9856
Ir 0.2500 0.0176 0.3129
Ir 0.7500 0.9824 0.6871
Ir 0.7500 0.5176 0.1871
Ir 0.2500 0.4824 0.8129